Compound: Dy2ZnOs
Source: the Alexandria database
Functional: PBE
Structure: relaxed

Computed properties:
The energy of formation from the pure elements comes out at 0.2685 eV/atom. For the density of states at the Fermi level, the calculation gives 8.70 states/eV per cell.

Cell: 3.9945 3.9945 28.1167 Å, 90.00 90.00 120.00°
With the nearest neighbours (Å) after each atom.
Space group R-3m (No. 166, hexagonal axes)
Unique sites:
Dy: 0.0000 0.0000 0.1144 (multiplicity 6)  3 Os 2.73
Zn: 0.0000 0.0000 0.0000 (multiplicity 3)  2 Dy 3.22
Os: 0.0000 0.0000 0.5000 (multiplicity 3)  6 Dy 2.73